A relaxed LiRe2O2 crystal, computed with PBE.

CIF file:
```
data_LiRe2O2
_chemical_formula_sum 'Li2 Re4 O4'
_cell_length_a 7.7371
_cell_length_b 7.7371
_cell_length_c 2.6271
_cell_angle_alpha 90.00
_cell_angle_beta 90.00
_cell_angle_gamma 90.00
_space_group_name_H-M_alt 'P 1'
_space_group_IT_number 1
_space_group_name_Hall 'P 1'
loop_
_atom_site_label
_atom_site_type_symbol
_atom_site_fract_x
_atom_site_fract_y
_atom_site_fract_z
Li1 Li 0.0000 0.0000 0.0000
Li2 Li 0.5000 0.5000 0.0000
Re1 Re 0.1111 0.3889 0.0000
Re2 Re 0.3889 0.8889 0.0000
Re3 Re 0.6111 0.1111 0.0000
Re4 Re 0.8889 0.6111 0.0000
O1 O 0.2466 0.2534 0.5000
O2 O 0.2534 0.7534 0.5000
O3 O 0.7466 0.2466 0.5000
O4 O 0.7534 0.7466 0.5000
```

E_form (uncorrected) in meV/atom: 241.6
Total magnetic moment in μB per atom: 0.000